No. 1
Compound: HfBeCdRe2
Source: the Alexandria database
Functional: PBE
Structure: relaxed

The structure in CIF format:
```
data_HfBeCdRe2
_cell_length_a 4.914
_cell_length_b 3.971
_cell_length_c 4.914
_cell_angle_alpha 90.00
_cell_angle_beta 90.00
_cell_angle_gamma 90.00
_space_group_name_H-M_alt 'P 1'
_space_group_IT_number 1
loop_
_space_group_symop_operation_xyz
'x,y,z'
loop_
_atom_site_label
_atom_site_fract_x
_atom_site_fract_y
_atom_site_fract_z
Re1 0.000 0.000 0.500
Re2 0.500 0.000 0.000
Hf1 0.500 0.500 0.500
Be1 0.000 0.500 0.000
Cd1 0.000 0.000 0.000
```

Computed properties:
The calculation puts the formation energy from the elements at 1778 meV per atom.



No. 2
Compound: Zn2Si3
Source: the Alexandria database
Functional: PBE
Structure: relaxed

The structure in CIF format:
```
data_Zn2Si3
_cell_length_a 11.126
_cell_length_b 10.750
_cell_length_c 4.385
_cell_angle_alpha 83.30
_cell_angle_beta 73.66
_cell_angle_gamma 23.04
_space_group_name_H-M_alt 'P 1'
_space_group_IT_number 1
loop_
_space_group_symop_operation_xyz
'x,y,z'
loop_
_atom_site_label
_atom_site_fract_x
_atom_site_fract_y
_atom_site_fract_z
Zn1 0.467 0.432 0.945
Zn2 0.156 0.945 0.432
Zn3 0.818 0.783 0.094
Zn4 0.305 0.094 0.783
Si1 0.647 0.158 0.434
Si2 0.761 0.434 0.158
Si3 0.092 0.603 0.489
Si4 0.816 0.489 0.603
Si5 0.969 0.031 0.031
Si6 0.219 0.281 0.281
```

Computed properties:
The calculation puts the energy relative to the lowest polymorph listed for this composition at 0.000 eV per atom. The raw formation energy comes out at 0.24 eV per atom.



No. 3
Compound: BaBePdAu2
Source: the Alexandria database
Functional: PBE
Structure: relaxed

The structure in CIF format:
```
data_BaBePdAu2
_cell_length_a 4.772
_cell_length_b 4.772
_cell_length_c 4.685
_cell_angle_alpha 90.00
_cell_angle_beta 90.00
_cell_angle_gamma 90.00
_space_group_name_H-M_alt 'P 1'
_space_group_IT_number 1
loop_
_space_group_symop_operation_xyz
'x,y,z'
loop_
_atom_site_label
_atom_site_fract_x
_atom_site_fract_y
_atom_site_fract_z
Be1 0.000 0.000 0.000
Au1 0.000 0.500 0.000
Au2 0.500 0.000 0.000
Ba1 0.500 0.500 0.500
Pd1 0.000 0.000 0.500
```

Computed properties:
The calculation puts the energy relative to the lowest polymorph listed for this composition at 0.000 eV per atom. The calculation puts the formation energy from the elements at -398 meV per atom.



No. 4
Compound: CsLi2VZn
Source: the Alexandria database
Functional: PBE
Structure: relaxed

The structure in CIF format:
```
data_CsLi2VZn
_cell_length_a 5.449
_cell_length_b 6.288
_cell_length_c 5.449
_cell_angle_alpha 90.00
_cell_angle_beta 90.00
_cell_angle_gamma 90.00
_space_group_name_H-M_alt 'P 1'
_space_group_IT_number 1
loop_
_space_group_symop_operation_xyz
'x,y,z'
loop_
_atom_site_label
_atom_site_fract_x
_atom_site_fract_y
_atom_site_fract_z
Cs1 0.000 0.500 0.000
Zn1 0.500 0.500 0.500
Li1 0.000 0.000 0.500
Li2 0.500 0.000 0.000
V1 0.000 0.000 0.000
```

Computed properties:
The calculation puts the formation energy from the elements at 1011 meV per atom.